6
Lattice="4.101 -2.368 0.000 0.000 4.735 0.000 0.000 0.000 11.232" Properties=species:S:1:pos:R:3 comment="NaNbHg PBE-GGA relaxed" ef_ev_per_fu=4.57 de_polymorph_ev_per_atom=1.422 pbc="T T T"
Na 1.367 2.368 2.808
Na 2.734 0.000 8.424
Nb 0.000 0.000 0.000
Nb 0.000 0.000 5.616
Hg 0.000 0.000 2.808
Hg 0.000 0.000 8.424